[1]
Computed, not measured: an optimized crystal structure of TlCoTcIr at the PBE level of DFT.

Geometry as CIF:
```
data_TlCoTcIr
_chemical_formula_sum 'Tl4 Co4 Tc4 Ir4'
_cell_length_a 6.3424
_cell_length_b 6.3424
_cell_length_c 6.3424
_cell_angle_alpha 90.00
_cell_angle_beta 90.00
_cell_angle_gamma 90.00
_space_group_name_H-M_alt 'F -4 3 m'
_space_group_IT_number 216
_space_group_name_Hall 'F -4 2 3'
loop_
_atom_site_label
_atom_site_type_symbol
_atom_site_fract_x
_atom_site_fract_y
_atom_site_fract_z
Tl1 Tl 0.0000 0.0000 0.0000
Co1 Co 0.2500 0.2500 0.2500
Tc1 Tc 0.0000 0.0000 0.5000
Ir1 Ir 0.2500 0.2500 0.7500
```

Properties
**Polymorph energy (0 for the lowest one)**: 0 meV/atom
**Total moment**: 3.99 μB per formula unit



[2]
Computed, not measured: an optimized crystal structure of LuAlFe at the PBE level of DFT.

Geometry as CIF:
```
data_LuAlFe
_chemical_formula_sum 'Lu4 Al4 Fe4'
_cell_length_a 6.3668
_cell_length_b 6.3668
_cell_length_c 6.3668
_cell_angle_alpha 90.00
_cell_angle_beta 90.00
_cell_angle_gamma 90.00
_space_group_name_H-M_alt 'F -4 3 m'
_space_group_IT_number 216
_space_group_name_Hall 'F -4 2 3'
loop_
_atom_site_label
_atom_site_type_symbol
_atom_site_fract_x
_atom_site_fract_y
_atom_site_fract_z
Lu1 Lu 0.0000 0.0000 0.0000
Al1 Al 0.2500 0.2500 0.7500
Fe1 Fe 0.2500 0.2500 0.2500
```

Properties
**Total moment**: 2.04 μB per formula unit
**E_tot**: -4.67 eV/atom



[3]
Computed, not measured: an optimized crystal structure of PrZrAsO at the PBE level of DFT.

Geometry as CIF:
```
data_PrZrAsO
_chemical_formula_sum 'Pr2 Zr2 As2 O2'
_cell_length_a 4.2642
_cell_length_b 4.2642
_cell_length_c 9.0911
_cell_angle_alpha 90.00
_cell_angle_beta 90.00
_cell_angle_gamma 90.00
_space_group_name_H-M_alt 'P 4/n m m'
_space_group_IT_number 129
loop_
_space_group_symop_operation_xyz
'x,y,z'
'-x,-y,-z'
'-y+1/2,x,z'
'y+1/2,-x,-z'
'-x+1/2,-y+1/2,z'
'x+1/2,y+1/2,-z'
'y,-x+1/2,z'
'-y,x+1/2,-z'
'x+1/2,-y,-z'
'-x+1/2,y,z'
'-y,-x,-z'
'y,x,z'
'-x,y+1/2,-z'
'x,-y+1/2,z'
'y+1/2,x+1/2,-z'
'-y+1/2,-x+1/2,z'
loop_
_atom_site_label
_atom_site_type_symbol
_atom_site_fract_x
_atom_site_fract_y
_atom_site_fract_z
Pr1 Pr 0.2500 0.2500 0.1215
Zr1 Zr 0.2500 0.7500 0.5000
As1 As 0.2500 0.2500 0.6879
O1 O 0.2500 0.7500 0.0000
```

Properties
**Polymorph energy (0 for the lowest one)**: 0 meV/atom
**Total moment**: 0.00 μB per formula unit



[4]
Computed, not measured: an optimized crystal structure of LiLaAgSn2 at the PBE level of DFT.

Geometry as CIF:
```
data_LiLaAgSn2
_chemical_formula_sum 'Li2 La2 Ag2 Sn4'
_cell_length_a 4.5066
_cell_length_b 4.5066
_cell_length_c 12.0550
_cell_angle_alpha 90.00
_cell_angle_beta 90.00
_cell_angle_gamma 90.00
_space_group_name_H-M_alt 'I -4 m 2'
_space_group_IT_number 119
_space_group_name_Hall 'I -4 -2'
loop_
_atom_site_label
_atom_site_type_symbol
_atom_site_fract_x
_atom_site_fract_y
_atom_site_fract_z
Li1 Li 0.0000 0.0000 0.0000
La1 La 0.0000 0.5000 0.2500
Ag1 Ag 0.0000 0.0000 0.5000
Sn1 Sn 0.0000 0.5000 0.6334
```

Properties
**Total moment**: 0.00 μB per formula unit
**E_tot**: -4.08 eV/atom



[5]
Computed, not measured: an optimized crystal structure of HoTmAl4Au2 at the PBE level of DFT.

Geometry as CIF:
```
data_HoTmAl4Au2
_chemical_formula_sum 'Ho2 Tm2 Al8 Au4'
_cell_length_a 6.7685
_cell_length_b 4.4264
_cell_length_c 10.2829
_cell_angle_alpha 90.00
_cell_angle_beta 90.00
_cell_angle_gamma 90.00
_space_group_name_H-M_alt 'A m m 2'
_space_group_IT_number 38
loop_
_space_group_symop_operation_xyz
'x,y,z'
'-x,-y,z'
'-x,y,z'
'x,-y,z'
'x,y+1/2,z+1/2'
'-x,-y+1/2,z+1/2'
'-x,y+1/2,z+1/2'
'x,-y+1/2,z+1/2'
loop_
_atom_site_label
_atom_site_type_symbol
_atom_site_fract_x
_atom_site_fract_y
_atom_site_fract_z
Ho1 Ho 0.0000 0.0000 0.0000
Tm1 Tm 0.5000 0.0000 0.8438
Al1 Al 0.1988 0.0000 0.2946
Al2 Al 0.3020 0.0000 0.5494
Au1 Au 0.0000 0.0000 0.7137
Au2 Au 0.5000 0.0000 0.1297
```

Properties
**Total moment**: 0.00 μB per formula unit
**E_tot**: -4.48 eV/atom



[6]
Computed, not measured: an optimized crystal structure of Ho4GaSi4Ni2 at the PBE level of DFT.

Geometry as CIF:
```
data_Ho4GaSi4Ni2
_chemical_formula_sum 'Ho8 Ga2 Si8 Ni4'
_cell_length_a 15.0211
_cell_length_b 4.1587
_cell_length_c 6.8018
_cell_angle_alpha 90.00
_cell_angle_beta 108.25
_cell_angle_gamma 90.00
_space_group_name_H-M_alt 'C 1 2/m 1'
_space_group_IT_number 12
loop_
_space_group_symop_operation_xyz
'x,y,z'
'-x,-y,-z'
'-x,y,-z'
'x,-y,z'
'x+1/2,y+1/2,z'
'-x+1/2,-y+1/2,-z'
'-x+1/2,y+1/2,-z'
'x+1/2,-y+1/2,z'
loop_
_atom_site_label
_atom_site_type_symbol
_atom_site_fract_x
_atom_site_fract_y
_atom_site_fract_z
Ho1 Ho 0.0874 0.0000 0.3817
Ho2 Ho 0.1526 0.0000 0.9401
Ga1 Ga 0.0000 0.5000 0.0000
Si1 Si 0.0630 0.5000 0.6591
Si2 Si 0.2065 0.5000 0.2780
Ni1 Ni 0.2154 0.5000 0.6432
```

Properties
**Total moment**: 0.00 μB per formula unit
**E_tot**: -5.73 eV/atom



[7]
Computed, not measured: an optimized crystal structure of FeAu3 at the PBE level of DFT.

Geometry as CIF:
```
data_FeAu3
_chemical_formula_sum 'Fe4 Au12'
_cell_length_a 6.4715
_cell_length_b 6.4715
_cell_length_c 6.4715
_cell_angle_alpha 90.00
_cell_angle_beta 90.00
_cell_angle_gamma 90.00
_space_group_name_H-M_alt 'F m -3 m'
_space_group_IT_number 225
_space_group_name_Hall '-F 4 2 3'
loop_
_atom_site_label
_atom_site_type_symbol
_atom_site_fract_x
_atom_site_fract_y
_atom_site_fract_z
Fe1 Fe 0.0000 0.0000 0.0000
Au1 Au 0.0000 0.0000 0.5000
Au2 Au 0.2500 0.2500 0.2500
```

Properties
**Total moment**: 3.14 μB per formula unit
**Formation energy from the elements**: 0.146 eV per atom



[8]
Computed, not measured: an optimized crystal structure of HoTaTe at the PBE level of DFT.

Geometry as CIF:
```
data_HoTaTe
_chemical_formula_sum 'Ho4 Ta4 Te4'
_cell_length_a 6.7556
_cell_length_b 6.7556
_cell_length_c 6.7556
_cell_angle_alpha 90.00
_cell_angle_beta 90.00
_cell_angle_gamma 90.00
_space_group_name_H-M_alt 'F -4 3 m'
_space_group_IT_number 216
_space_group_name_Hall 'F -4 2 3'
loop_
_atom_site_label
_atom_site_type_symbol
_atom_site_fract_x
_atom_site_fract_y
_atom_site_fract_z
Ho1 Ho 0.0000 0.0000 0.0000
Ta1 Ta 0.0000 0.0000 0.5000
Te1 Te 0.2500 0.2500 0.2500
```

Properties
**Total moment**: 0.01 μB per formula unit
**E_tot**: -6.24 eV/atom



[9]
Computed, not measured: an optimized crystal structure of HoInNO at the PBE level of DFT.

Geometry as CIF:
```
data_HoInNO
_chemical_formula_sum 'Ho2 In2 N2 O2'
_cell_length_a 4.9229
_cell_length_b 4.9229
_cell_length_c 4.7662
_cell_angle_alpha 90.00
_cell_angle_beta 90.00
_cell_angle_gamma 90.00
_space_group_name_H-M_alt 'P 4/n m m'
_space_group_IT_number 129
loop_
_space_group_symop_operation_xyz
'x,y,z'
'-x,-y,-z'
'-y+1/2,x,z'
'y+1/2,-x,-z'
'-x+1/2,-y+1/2,z'
'x+1/2,y+1/2,-z'
'y,-x+1/2,z'
'-y,x+1/2,-z'
'x+1/2,-y,-z'
'-x+1/2,y,z'
'-y,-x,-z'
'y,x,z'
'-x,y+1/2,-z'
'x,-y+1/2,z'
'y+1/2,x+1/2,-z'
'-y+1/2,-x+1/2,z'
loop_
_atom_site_label
_atom_site_type_symbol
_atom_site_fract_x
_atom_site_fract_y
_atom_site_fract_z
Ho1 Ho 0.2500 0.7500 0.0000
In1 In 0.2500 0.2500 0.4976
N1 N 0.2500 0.2500 0.9957
O1 O 0.2500 0.7500 0.5000
```

Properties
**Polymorph energy (0 for the lowest one)**: 0 meV/atom
**Total moment**: 0.00 μB per formula unit



[10]
Computed, not measured: an optimized crystal structure of NbCoBPt at the PBE level of DFT.

Geometry as CIF:
```
data_NbCoBPt
_chemical_formula_sum 'Nb4 Co4 B4 Pt4'
_cell_length_a 5.9718
_cell_length_b 5.9718
_cell_length_c 5.9718
_cell_angle_alpha 90.00
_cell_angle_beta 90.00
_cell_angle_gamma 90.00
_space_group_name_H-M_alt 'F -4 3 m'
_space_group_IT_number 216
_space_group_name_Hall 'F -4 2 3'
loop_
_atom_site_label
_atom_site_type_symbol
_atom_site_fract_x
_atom_site_fract_y
_atom_site_fract_z
Nb1 Nb 0.0000 0.0000 0.0000
Co1 Co 0.0000 0.0000 0.5000
B1 B 0.2500 0.2500 0.2500
Pt1 Pt 0.2500 0.2500 0.7500
```

Properties
**Polymorph energy (0 for the lowest one)**: 0 meV/atom
**Total moment**: 0.15 μB per formula unit



[11]
Computed, not measured: an optimized crystal structure of ScZn at the PBE level of DFT.

Geometry as CIF:
```
data_ScZn
_chemical_formula_sum 'Sc6 Zn6'
_cell_length_a 6.7303
_cell_length_b 4.6660
_cell_length_c 7.3888
_cell_angle_alpha 90.00
_cell_angle_beta 102.55
_cell_angle_gamma 90.00
_space_group_name_H-M_alt 'P 1 21/m 1'
_space_group_IT_number 11
loop_
_space_group_symop_operation_xyz
'x,y,z'
'-x,-y,-z'
'-x,y+1/2,-z'
'x,-y+1/2,z'
loop_
_atom_site_label
_atom_site_type_symbol
_atom_site_fract_x
_atom_site_fract_y
_atom_site_fract_z
Sc1 Sc 0.1338 0.2500 0.0264
Sc2 Sc 0.2160 0.7500 0.3366
Sc3 Sc 0.3603 0.7500 0.9309
Zn1 Zn 0.0215 0.7500 0.6454
Zn2 Zn 0.2963 0.2500 0.6731
Zn3 Zn 0.4492 0.2500 0.3610
```

Properties
**Total moment**: 0.00 μB per formula unit
**Formation energy from the elements**: -0.177 eV per atom



[12]
Computed, not measured: an optimized crystal structure of AgH2SO5 at the PBE level of DFT.

Geometry as CIF:
```
data_AgH2SO5
_chemical_formula_sum 'Ag2 H4 S2 O10'
_cell_length_a 5.1224
_cell_length_b 5.3017
_cell_length_c 7.7139
_cell_angle_alpha 105.90
_cell_angle_beta 105.94
_cell_angle_gamma 92.65
_space_group_name_H-M_alt 'P -1'
_space_group_IT_number 2
loop_
_space_group_symop_operation_xyz
'x,y,z'
'-x,-y,-z'
loop_
_atom_site_label
_atom_site_type_symbol
_atom_site_fract_x
_atom_site_fract_y
_atom_site_fract_z
Ag1 Ag 0.0000 0.0000 0.0000
Ag2 Ag 0.5000 0.0000 0.5000
H1 H 0.0183 0.2425 0.6794
H2 H 0.1911 0.6224 0.2198
S1 S 0.3825 0.6596 0.7624
O1 O 0.1334 0.8008 0.2703
O2 O 0.2553 0.4076 0.6172
O3 O 0.2865 0.6984 0.9309
O4 O 0.3128 0.3419 0.1839
O5 O 0.3149 0.8934 0.6918
```

Properties
**E_tot**: -5.22 eV/atom